# Ac2Nd2Ge (PBE-GGA, optimized geometry)
# Total moment ... 0.0 μB/cell
# Space group ... I4/mmm, No. 139
# Formation enthalpy at 0 K ... 0.168 eV per atom
# DOS(E_F) ... 1.053 states/eV per atom
# E_tot ... -4.306 eV/atom
data_Ac2Nd2Ge
_chemical_formula_sum 'Ac2 Nd2 Ge1'
_cell_length_a 4.318
_cell_length_b 4.318
_cell_length_c 10.554
_cell_angle_alpha 101.80
_cell_angle_beta 101.80
_cell_angle_gamma 90.00
_space_group_name_H-M_alt 'P 1'
_space_group_IT_number 1
loop_
_space_group_symop_operation_xyz
'x,y,z'
loop_
_atom_site_label
_atom_site_type_symbol
_atom_site_fract_x
_atom_site_fract_y
_atom_site_fract_z
Ac1 Ac 0.418 0.418 0.835
Ac2 Ac 0.582 0.582 0.165
Nd1 Nd 0.750 0.250 0.500
Nd2 Nd 0.250 0.750 0.500
Ge1 Ge 0.000 0.000 0.000